First-principles (PBE-GGA) data for a relaxed structure of ZrHg3Mo, as listed in the Alexandria database.

a = 5.1381 Å, b = 5.1381 Å, c = 5.1381 Å
α = 90.00°, β = 90.00°, γ = 90.00°
Last column: nearest neighbours and their distance in Å.
Space group Pm-3m (No. 221)
Unique sites:
Zr (0.0000, 0.0000, 0.0000) x1  12 Hg 3.63
Hg (0.0000, 0.5000, 0.5000) x3  2 Mo 2.57
Mo (0.5000, 0.5000, 0.5000) x1  6 Hg 2.57

## Properties
Fermi-level density of states, states/eV/cell: 2.30
Excess energy over the best structure of this formula in the dataset, meV per atom: 0
VASP energy, eV/cell: -14.62
Size of the total moment, μB per cell: 0.0
Energy relative to the elements, eV/f.u.: 5.7